A plane-wave DFT calculation with PBE was carried out for a geometry-optimized Ru2PtBr structure.

a b c (Å): 2.897 4.667 4.667
angles (deg): 90.00 90.00 90.00
Site moments in Bohr magnetons follow the coordinates.
Element x y z (fractional)
Ru 0.000 0.000 0.000  0.63
Ru 0.000 0.500 0.500  0.63
Br 0.500 0.500 0.000  0.02
Pt 0.500 0.000 0.500  0.10

Summary:
Volume: 15.776 Å³/atom
Energy relative to the lowest polymorph listed for this composition: 344 meV per atom